Computed, not measured: crystalline Ba4NaSm3S8 at its relaxed geometry at the GGA-PBE level of DFT.

Summary:
final energy = -5.47 eV/atom
total magnetic moment = 0.0 μB/cell
ΔE_f (raw) = -1.96 eV per atom

Lattice parameters (Å, degrees): 8.6268 8.6268 8.6268 58.90 58.90 58.90
Closest atoms and distances in Å follow each position.
Sites, in units of the cell vectors:
1 Ba 0.0000 0.0000 0.0000  6 S 3.11
2 Ba 0.0000 0.5000 0.5000  6 S 3.17-3.19
3 Ba 0.5000 0.0000 0.5000  6 S 3.17-3.19
4 Ba 0.5000 0.5000 0.0000  6 S 3.17-3.19
5 Na 0.5000 0.5000 0.5000  6 S 2.95
6 Sm 0.0000 0.0000 0.5000  6 S 2.87-2.89
7 Sm 0.0000 0.5000 0.0000  6 S 2.87-2.89
8 Sm 0.5000 0.0000 0.0000  6 S 2.87-2.89
9 S 0.2302 0.7439 0.7439  2 Sm 2.87, 1 Na 2.95, 3 Ba 3.11-3.19
10 S 0.2390 0.2390 0.2390  3 Sm 2.89, 3 Ba 3.17
11 S 0.2561 0.2561 0.7698  2 Sm 2.87, 1 Na 2.95, 3 Ba 3.11-3.19
12 S 0.2561 0.7698 0.2561  2 Sm 2.87, 1 Na 2.95, 3 Ba 3.11-3.19
13 S 0.7439 0.2302 0.7439  2 Sm 2.87, 1 Na 2.95, 3 Ba 3.11-3.19
14 S 0.7439 0.7439 0.2302  2 Sm 2.87, 1 Na 2.95, 3 Ba 3.11-3.19
15 S 0.7610 0.7610 0.7610  3 Sm 2.89, 3 Ba 3.17
16 S 0.7698 0.2561 0.2561  2 Sm 2.87, 1 Na 2.95, 3 Ba 3.11-3.19



Computed, not measured: crystalline Ba2NaSnS at its relaxed geometry at the GGA-PBE level of DFT.

Summary:
final energy = -3.58 eV/atom
total magnetic moment = 0.0 μB/cell
ΔE_f (raw) = -0.92 eV per atom

Lattice parameters (Å, degrees): 6.1530 6.1530 5.1093 90.00 90.00 90.00
Closest atoms and distances in Å follow each position.
Sites, in units of the cell vectors:
1 Ba 0.0000 0.5000 0.0000  2 S 3.08
2 Ba 0.5000 0.0000 0.0000  2 S 3.08
3 Na 0.0000 0.0000 0.5000  2 S 2.55
4 Sn 0.5000 0.5000 0.5000  8 Ba 4.00, 4 Na 4.35
5 S 0.0000 0.0000 0.0000  2 Na 2.55



Computed, not measured: crystalline BaNa2SnS4 at its relaxed geometry at the GGA-PBE level of DFT.

Summary:
final energy = -4.16 eV/atom
total magnetic moment = 0.0 μB/cell
ΔE_f (raw) = -1.03 eV per atom

Lattice parameters (Å, degrees): 8.4172 8.4172 8.4172 122.82 119.66 87.89
Closest atoms and distances in Å follow each position.
Sites, in units of the cell vectors:
1 Ba 0.0000 0.0000 0.0000  6 S 3.07-3.11
2 Ba 0.5000 0.0000 0.5000  6 S 3.07-3.11
3 Na 0.0000 0.5000 0.5000  6 S 2.86-2.97
4 Na 0.5000 0.0000 0.0000  4 S 3.08
5 Na 0.5000 0.5000 0.0000  6 S 2.86-2.97
6 Na 0.5000 0.5000 0.5000  4 S 3.08
7 Sn 0.0000 0.0000 0.5000  6 S 2.53-2.77
8 Sn 0.0000 0.5000 0.0000  6 S 2.53-2.77
9 S 0.2082 0.2269 0.5187  1 Sn 2.53
10 S 0.2082 0.6896 0.9814  1 Sn 2.53
11 S 0.2191 0.7442 0.4749  2 Sn 2.77, 3 Na 2.97-3.08
12 S 0.2307 0.2558 0.9749  2 Sn 2.77, 3 Na 2.97-3.08
13 S 0.7693 0.7442 0.0251  2 Sn 2.77, 3 Na 2.97-3.08
14 S 0.7809 0.2558 0.5251  2 Sn 2.77, 3 Na 2.97-3.08
15 S 0.7918 0.3104 0.0186  1 Sn 2.53
16 S 0.7918 0.7731 0.4814  1 Sn 2.53



Computed, not measured: crystalline Ba2NaSrS at its relaxed geometry at the GGA-PBE level of DFT.

Summary:
final energy = -2.94 eV/atom
total magnetic moment = 0.0 μB/cell
ΔE_f (raw) = -0.74 eV per atom

Lattice parameters (Å, degrees): 6.3571 6.3571 5.8849 90.00 90.00 90.00
Closest atoms and distances in Å follow each position.
Sites, in units of the cell vectors:
1 Ba 0.0000 0.5000 0.0000  2 S 3.18
2 Ba 0.5000 0.0000 0.0000  2 S 3.18
3 Na 0.0000 0.0000 0.5000  8 Ba 4.33, 4 Sr 4.50
4 Sr 0.5000 0.5000 0.5000  2 S 2.94
5 S 0.5000 0.5000 0.0000  2 Sr 2.94, 4 Ba 3.18